Density functional theory data (PBE-GGA) for crystalline Ba2BiPd6Au at its relaxed geometry. Values from VASP.

Geometry as Quantum ESPRESSO input:
```
&SYSTEM
  ibrav = 0, nat = 10, ntyp = 4
/
ATOMIC_SPECIES
Ba 137.33 Ba.upf
Bi 208.98 Bi.upf
Pd 106.42 Pd.upf
Au 196.97 Au.upf
ATOMIC_POSITIONS angstrom
Ba 7.1422 4.0430 2.8713
Ba 3.5653 6.0301 1.7537
Bi 0.0000 0.0000 0.0000
Pd 4.1697 2.3755 2.3164
Pd 9.0684 8.1543 3.5719
Pd 4.6023 7.5440 4.4211
Pd 6.1052 2.5291 0.2040
Pd 1.6391 1.9188 1.0531
Pd 6.5378 7.6976 2.3087
Au 3.5700 3.4146 -0.1089
CELL_PARAMETERS angstrom
7.1492 0.0138 0.0022
-0.0092 6.8154 -0.2200
3.5675 3.2439 4.8428
```

## Properties
Space-group type: P-1 (2)
Energy relative to the elements, kJ/mol of formula units: -408
Spin magnetization, μB/f.u.: 0.0
Total DFT energy (no corrections), eV per atom: -4.638
Crystal system: triclinic

Density functional theory data (PBE-GGA) for crystalline BaBiPd3Au at its relaxed geometry. Values from VASP.

Geometry as Quantum ESPRESSO input:
```
&SYSTEM
  ibrav = 0, nat = 12, ntyp = 4
/
ATOMIC_SPECIES
Ba 137.33 Ba.upf
Bi 208.98 Bi.upf
Pd 106.42 Pd.upf
Au 196.97 Au.upf
ATOMIC_POSITIONS angstrom
Ba 5.6632 0.0000 3.9530
Ba 1.8877 3.1306 2.2870
Bi 1.8877 0.0000 4.6789
Bi 5.6632 3.1306 1.5612
Pd 1.8877 0.0000 1.9142
Pd 0.0000 1.7038 0.0000
Pd 3.7755 4.5575 0.0000
Pd 3.7755 1.7038 0.0000
Pd 0.0000 4.5575 0.0000
Pd 5.6632 3.1306 4.3258
Au 1.8877 3.1306 5.3657
Au 5.6632 0.0000 0.8743
CELL_PARAMETERS angstrom
7.5509 0.0000 0.0000
0.0000 6.2613 0.0000
0.0000 -3.1306 6.2400
```

## Properties
Space-group type: Cmcm (63)
Energy relative to the elements, kJ/mol of formula units: -186
Spin magnetization, μB/f.u.: 0.0
Total DFT energy (no corrections), eV per atom: -4.431
Crystal system: orthorhombic

Density functional theory data (PBE-GGA) for crystalline Ba2Bi4PdAu3 at its relaxed geometry. Values from VASP.

Geometry as Quantum ESPRESSO input:
```
&SYSTEM
  ibrav = 0, nat = 10, ntyp = 4
/
ATOMIC_SPECIES
Ba 137.33 Ba.upf
Bi 208.98 Bi.upf
Pd 106.42 Pd.upf
Au 196.97 Au.upf
ATOMIC_POSITIONS angstrom
Ba 2.5166 0.0000 3.0405
Ba 0.0000 2.5166 8.5426
Bi 2.5166 2.5166 0.0000
Bi 0.0000 0.0000 0.0000
Bi 2.5166 0.0000 7.1688
Bi 0.0000 2.5166 4.4143
Pd 2.5166 2.5166 5.7916
Au 0.0000 0.0000 5.7916
Au 2.5166 0.0000 9.9880
Au 0.0000 2.5166 1.5952
CELL_PARAMETERS angstrom
5.0333 0.0000 0.0000
0.0000 5.0333 0.0000
0.0000 0.0000 11.5831
```

## Properties
Space-group type: P-4m2 (115)
Energy relative to the elements, kJ/mol of formula units: -524
Spin magnetization, μB/f.u.: 0.0
Total DFT energy (no corrections), eV per atom: -3.983
Crystal system: tetragonal

Density functional theory data (PBE-GGA) for crystalline Ba2Bi3Pd4Au at its relaxed geometry. Values from VASP.

Geometry as Quantum ESPRESSO input:
```
&SYSTEM
  ibrav = 0, nat = 10, ntyp = 4
/
ATOMIC_SPECIES
Ba 137.33 Ba.upf
Bi 208.98 Bi.upf
Pd 106.42 Pd.upf
Au 196.97 Au.upf
ATOMIC_POSITIONS angstrom
Ba 2.4505 0.0000 2.7727
Ba 0.0000 2.4505 8.1112
Bi 0.0000 0.0000 5.4419
Bi 2.4505 0.0000 9.5411
Bi 0.0000 2.4505 1.3427
Pd 2.4505 2.4505 0.0000
Pd 0.0000 0.0000 0.0000
Pd 2.4505 0.0000 6.7756
Pd 0.0000 2.4505 4.1083
Au 2.4505 2.4505 5.4419
CELL_PARAMETERS angstrom
4.9010 0.0000 0.0000
0.0000 4.9010 0.0000
0.0000 0.0000 10.8838
```

## Properties
Space-group type: P-4m2 (115)
Energy relative to the elements, kJ/mol of formula units: -569
Spin magnetization, μB/f.u.: 0.0
Total DFT energy (no corrections), eV per atom: -4.543
Crystal system: tetragonal

Density functional theory data (PBE-GGA) for crystalline Ba2BiPtAu6 at its relaxed geometry. Values from VASP.

Geometry as Quantum ESPRESSO input:
```
&SYSTEM
  ibrav = 0, nat = 10, ntyp = 4
/
ATOMIC_SPECIES
Ba 137.33 Ba.upf
Bi 208.98 Bi.upf
Pt 195.08 Pt.upf
Au 196.97 Au.upf
ATOMIC_POSITIONS angstrom
Ba 9.4717 2.8619 2.0880
Ba 5.1904 5.6864 2.4532
Bi 4.9123 2.8272 -0.1249
Pt 0.0000 0.0000 0.0000
Au 3.3503 2.8585 2.4149
Au 12.3052 7.1473 4.5240
Au 2.3529 4.2501 -0.0190
Au 12.3092 4.2982 4.5603
Au 2.3569 1.4010 0.0172
Au 11.3118 5.6898 2.1263
CELL_PARAMETERS angstrom
9.8292 0.0048 -0.1722
-0.0046 5.6495 -0.0775
4.8375 2.8939 4.7909
```

## Properties
Space-group type: C2/m (12)
Energy relative to the elements, kJ/mol of formula units: -423
Spin magnetization, μB/f.u.: 0.0
Total DFT energy (no corrections), eV per atom: -3.781
Crystal system: monoclinic

Density functional theory data (PBE-GGA) for crystalline Ba2Bi4Pt3Au at its relaxed geometry. Values from VASP.

Geometry as Quantum ESPRESSO input:
```
&SYSTEM
  ibrav = 0, nat = 10, ntyp = 4
/
ATOMIC_SPECIES
Ba 137.33 Ba.upf
Bi 208.98 Bi.upf
Pt 195.08 Pt.upf
Au 196.97 Au.upf
ATOMIC_POSITIONS angstrom
Ba 2.5186 0.0000 2.8715
Ba 0.0000 2.5186 8.1076
Bi 2.5186 2.5186 0.0000
Bi 0.0000 0.0000 0.0000
Bi 2.5186 0.0000 6.9006
Bi 0.0000 2.5186 4.0786
Pt 0.0000 0.0000 5.4896
Pt 2.5186 0.0000 9.6670
Pt 0.0000 2.5186 1.3121
Au 2.5186 2.5186 5.4896
CELL_PARAMETERS angstrom
5.0373 0.0000 0.0000
0.0000 5.0373 0.0000
0.0000 0.0000 10.9791
```

## Properties
Space-group type: P-4m2 (115)
Energy relative to the elements, kJ/mol of formula units: -578
Spin magnetization, μB/f.u.: 0.0
Total DFT energy (no corrections), eV per atom: -4.676
Crystal system: tetragonal

Density functional theory data (PBE-GGA) for crystalline Ba2PuBi4Au3 at its relaxed geometry. Values from VASP.

Geometry as Quantum ESPRESSO input:
```
&SYSTEM
  ibrav = 0, nat = 10, ntyp = 4
/
ATOMIC_SPECIES
Ba 137.33 Ba.upf
Pu 244.00 Pu.upf
Bi 208.98 Bi.upf
Au 196.97 Au.upf
ATOMIC_POSITIONS angstrom
Ba -1.3666 1.9937 3.0676
Ba 3.3080 6.9356 6.6173
Pu 0.7752 3.5710 6.3441
Bi -0.3910 -1.7874 3.0033
Bi 0.0000 0.0000 0.0000
Bi -0.4004 6.4332 5.8355
Bi 2.3418 2.4961 3.8494
Au 1.1662 5.3583 3.3408
Au 0.1166 8.8084 7.3164
Au 1.8248 0.1209 2.3685
CELL_PARAMETERS angstrom
-3.8270 -1.0385 3.0016
3.0451 -2.5362 3.0049
2.3324 10.7167 6.6816
```

## Properties
Space-group type: P-4m2 (115)
Energy relative to the elements, kJ/mol of formula units: -485
Spin magnetization, μB/f.u.: 5.9
Total DFT energy (no corrections), eV per atom: -4.856
Crystal system: tetragonal

Density functional theory data (PBE-GGA) for crystalline BaBiAuS3 at its relaxed geometry. Values from VASP.

Geometry as Quantum ESPRESSO input:
```
&SYSTEM
  ibrav = 0, nat = 12, ntyp = 4
/
ATOMIC_SPECIES
Ba 137.33 Ba.upf
Bi 208.98 Bi.upf
Au 196.97 Au.upf
S 32.06 S.upf
ATOMIC_POSITIONS angstrom
Ba 1.2149 0.6155 2.2544
Ba 5.1183 0.7042 7.5477
Bi 3.6786 -2.8723 3.2399
Bi 2.6546 4.1920 6.5622
Au 1.8256 3.7899 3.3331
Au 4.5076 -2.4701 6.4690
S 3.6775 -4.7677 5.4196
S 2.6557 6.0874 4.3825
S 5.1145 -0.7776 4.6669
S 1.2187 2.0973 5.1352
S 1.1718 -1.9257 4.2717
S 5.1614 3.2454 5.5304
CELL_PARAMETERS angstrom
-2.3401 -0.6981 3.3795
5.6383 -5.9076 2.6838
3.0350 7.9255 3.7388
```

## Properties
Space-group type: P2_1/m (11)
Spin magnetization, μB/f.u.: 0.0
Total DFT energy (no corrections), eV per atom: -4.380
Raw formation energy, eV per atom: -0.80
Crystal system: monoclinic

Density functional theory data (PBE-GGA) for crystalline Ba2BiSbAu6 at its relaxed geometry. Values from VASP.

Geometry as Quantum ESPRESSO input:
```
&SYSTEM
  ibrav = 0, nat = 20, ntyp = 4
/
ATOMIC_SPECIES
Ba 137.33 Ba.upf
Bi 208.98 Bi.upf
Sb 121.76 Sb.upf
Au 196.97 Au.upf
ATOMIC_POSITIONS angstrom
Ba 2.9062 7.5396 2.3167
Ba 0.0000 2.7474 6.9795
Ba 2.9062 7.5396 7.0089
Ba 0.0000 2.7474 2.3461
Bi 0.0000 7.4727 4.6628
Bi 2.9062 2.8143 0.0000
Sb 2.9062 2.6293 4.6628
Sb 0.0000 7.6577 0.0000
Au 2.9062 0.8626 2.3450
Au 2.9062 0.8626 6.9806
Au 0.0000 9.4244 2.3178
Au 0.0000 9.4244 7.0078
Au 1.4388 10.2731 4.6628
Au 4.3737 10.2731 4.6628
Au 1.4611 5.0046 4.6628
Au 4.3513 5.0046 4.6628
Au 4.3674 5.2824 0.0000
Au 1.4451 5.2824 0.0000
Au 1.4674 0.0139 0.0000
Au 4.3450 0.0139 0.0000
CELL_PARAMETERS angstrom
5.8125 0.0000 0.0000
0.0000 10.2870 0.0000
0.0000 0.0000 9.3256
```

## Properties
Space-group type: Pmmn (59)
Spin magnetization, μB/f.u.: 0.0
Total DFT energy (no corrections), eV per atom: -3.625
Raw formation energy, eV per atom: -0.47
Crystal system: orthorhombic

Density functional theory data (PBE-GGA) for crystalline Ba2BiSb3Au4 at its relaxed geometry. Values from VASP.

Geometry as Quantum ESPRESSO input:
```
&SYSTEM
  ibrav = 0, nat = 10, ntyp = 4
/
ATOMIC_SPECIES
Ba 137.33 Ba.upf
Bi 208.98 Bi.upf
Sb 121.76 Sb.upf
Au 196.97 Au.upf
ATOMIC_POSITIONS angstrom
Ba 0.2744 3.2176 1.6815
Ba 4.2737 2.8765 7.3368
Bi 0.9230 3.6181 5.4990
Sb 3.6251 2.4760 3.5193
Sb 4.9361 6.4016 6.2072
Sb -0.3880 -0.3076 2.8111
Au -2.7021 1.1421 1.9797
Au 0.0000 0.0000 0.0000
Au 3.1851 5.2057 4.5073
Au 1.3630 0.8884 4.5111
CELL_PARAMETERS angstrom
-2.8589 4.1078 0.0548
-2.5453 -1.8235 3.9047
7.2502 4.9519 7.0386
```

## Properties
Space-group type: P-4m2 (115)
Spin magnetization, μB/f.u.: 0.0
Total DFT energy (no corrections), eV per atom: -3.911
Raw formation energy, eV per atom: -0.59
Crystal system: tetragonal

Density functional theory data (PBE-GGA) for crystalline Ba4Bi2Sb2Au at its relaxed geometry. Values from VASP.

Geometry as Quantum ESPRESSO input:
```
&SYSTEM
  ibrav = 0, nat = 9, ntyp = 4
/
ATOMIC_SPECIES
Ba 137.33 Ba.upf
Bi 208.98 Bi.upf
Sb 121.76 Sb.upf
Au 196.97 Au.upf
ATOMIC_POSITIONS angstrom
Ba 2.4181 4.4034 0.2225
Ba 6.5544 6.5293 1.6688
Ba 6.5544 3.9497 5.4604
Ba 2.4181 1.8238 4.0141
Bi 3.5259 5.2198 3.5513
Bi 5.4465 3.1333 2.1317
Sb 1.2509 1.0004 0.6807
Sb 7.7215 7.3526 5.0023
Au 3.4839 -0.2101 -0.1430
CELL_PARAMETERS angstrom
6.9677 -0.4203 -0.2859
1.0024 7.0604 -0.9455
1.0024 1.7130 6.9144
```

## Properties
Space-group type: C2/m (12)
Spin magnetization, μB/f.u.: 0.0
Total DFT energy (no corrections), eV per atom: -3.795
Raw formation energy, eV per atom: -0.80
Crystal system: monoclinic

Density functional theory data (PBE-GGA) for crystalline BaBiAuSe3 at its relaxed geometry. Values from VASP.

Geometry as Quantum ESPRESSO input:
```
&SYSTEM
  ibrav = 0, nat = 12, ntyp = 4
/
ATOMIC_SPECIES
Ba 137.33 Ba.upf
Bi 208.98 Bi.upf
Au 196.97 Au.upf
Se 78.96 Se.upf
ATOMIC_POSITIONS angstrom
Ba 2.5419 0.7543 0.8797
Ba 8.8731 0.4707 3.3096
Bi 4.3005 -3.2173 2.3635
Bi 7.1146 4.4422 1.8257
Au 4.2269 3.6216 -0.1851
Au 7.1881 -2.3967 4.3743
Se 5.1965 -4.1985 5.0413
Se 6.2186 5.4235 -0.8521
Se 6.7868 -1.6329 1.7787
Se 4.6282 2.8578 2.4106
Se 3.1691 -0.8443 3.7869
Se 8.2460 2.0692 0.4024
CELL_PARAMETERS angstrom
-0.0090 1.5118 4.0570
4.9166 -6.8836 2.5760
6.5075 6.5968 -2.4437
```

## Properties
Space-group type: P2_1/m (11)
Spin magnetization, μB/f.u.: 0.0
Total DFT energy (no corrections), eV per atom: -4.077
Raw formation energy, eV per atom: -0.82
Crystal system: monoclinic